La2CoO4: relaxed, PBE+U.

Output
As for the space-group type: No. 139. For the final energy, the calculation gives -7.5202 eV/atom.

Cell lengths 3.844, 3.844, 8.853 Å; angles 102.54, 102.54, 90.00 degrees
Element x y z (fractional)
La: 0.671 0.671 0.343
La: 0.329 0.329 0.657
Co: 0.000 0.000 0.000
O: 0.103 0.103 0.206
O: 0.897 0.897 0.794
O: 0.750 0.250 0.500
O: 0.250 0.750 0.500